Record 1
# BaScCuSe3

A relaxed structure of BaScCuSe3 (GGA-PBE, OQMD).

Results
- spin magnetization (μB per atom) = 0.00
- VASP energy (eV/cell) = -62.58

Cell lengths 8.4429, 4.0699, 9.3195 Å; angles 90.00, 107.90, 90.00 degrees
Positions (direct):
1 Se 0.5439 0.2500 0.8487
2 Se 0.7683 0.2500 0.4593
3 Se 0.8906 0.7500 0.1362
4 Se 0.1094 0.2500 0.8638
5 Se 0.4561 0.7500 0.1513
6 Se 0.2317 0.7500 0.5407
7 Cu 0.9190 0.7500 0.4081
8 Cu 0.0810 0.2500 0.5919
9 Sc 0.3212 0.7500 0.8443
10 Sc 0.6788 0.2500 0.1557
11 Ba 0.7891 0.7500 0.7428
12 Ba 0.2109 0.2500 0.2572



Record 2
# BaScCuTe2Se

A relaxed structure of BaScCuTe2Se (GGA-PBE, OQMD).

Results
- spin magnetization (μB per atom) = 0.00
- VASP energy (eV/cell) = -58.60

Cell lengths 7.6821, 7.6821, 10.5929 Å; angles 90.00, 90.00, 148.06 degrees
Positions (direct):
1 Sc 0.5000 0.5000 0.5000
2 Sc 0.5000 0.5000 0.0000
3 Ba 0.7651 0.2349 0.2500
4 Ba 0.2349 0.7651 0.7500
5 Se 0.5617 0.4383 0.7500
6 Se 0.4383 0.5617 0.2500
7 Te 0.1341 0.8659 0.0531
8 Te 0.1341 0.8659 0.4469
9 Te 0.8659 0.1341 0.9469
10 Te 0.8659 0.1341 0.5531
11 Cu 0.9733 0.0267 0.7500
12 Cu 0.0267 0.9733 0.2500



Copy entry 2 word for word.
# BaScCuTe2Se

A relaxed structure of BaScCuTe2Se (GGA-PBE, OQMD).

Results
- spin magnetization (μB per atom) = 0.00
- VASP energy (eV/cell) = -58.60

Cell lengths 7.6821, 7.6821, 10.5929 Å; angles 90.00, 90.00, 148.06 degrees
Positions (direct):
1 Sc 0.5000 0.5000 0.5000
2 Sc 0.5000 0.5000 0.0000
3 Ba 0.7651 0.2349 0.2500
4 Ba 0.2349 0.7651 0.7500
5 Se 0.5617 0.4383 0.7500
6 Se 0.4383 0.5617 0.2500
7 Te 0.1341 0.8659 0.0531
8 Te 0.1341 0.8659 0.4469
9 Te 0.8659 0.1341 0.9469
10 Te 0.8659 0.1341 0.5531
11 Cu 0.9733 0.0267 0.7500
12 Cu 0.0267 0.9733 0.2500



Q: Number 1 is which compound?
A: BaScCuSe3